[1]
# AcZn9Ni2 | Alexandria | PBE-GGA | relaxed
data_AcZn9Ni2
_cell_length_a 8.2364
_cell_length_b 8.2364
_cell_length_c 8.2364
_cell_angle_alpha 99.99
_cell_angle_beta 99.99
_cell_angle_gamma 130.77
_symmetry_space_group_name_H-M 'P 1'
_symmetry_Int_Tables_number 1
_symmetry_space_group_name_Hall 'P 1'
loop_
_atom_site_label
_atom_site_type_symbol
_atom_site_fract_x
_atom_site_fract_y
_atom_site_fract_z
Ac1 Ac 0.3750 0.6250 0.7500
Ac2 Ac 0.6250 0.3750 0.2500
Zn1 Zn 0.1250 0.8750 0.2500
Zn2 Zn 0.1472 0.5699 0.3308
Zn3 Zn 0.1472 0.8163 0.5773
Zn4 Zn 0.1837 0.2610 0.3308
Zn5 Zn 0.1837 0.8528 0.9227
Zn6 Zn 0.2610 0.1837 0.8308
Zn7 Zn 0.2610 0.4301 0.0773
Zn8 Zn 0.4301 0.2610 0.5773
Zn9 Zn 0.4301 0.8528 0.1692
Zn10 Zn 0.5699 0.1472 0.8308
Zn11 Zn 0.5699 0.7390 0.4227
Zn12 Zn 0.7390 0.5699 0.9227
Zn13 Zn 0.7390 0.8163 0.1692
Zn14 Zn 0.8163 0.1472 0.0773
Zn15 Zn 0.8163 0.7390 0.6692
Zn16 Zn 0.8528 0.1837 0.4227
Zn17 Zn 0.8528 0.4301 0.6692
Zn18 Zn 0.8750 0.1250 0.7500
Ni1 Ni 0.0000 0.0000 0.0000
Ni2 Ni 0.0000 0.0000 0.5000
Ni3 Ni 0.0000 0.5000 0.0000
Ni4 Ni 0.5000 0.0000 0.5000
# raw total energy = -60.8 eV/cell

[2]
# AcZn7Ni5 | Alexandria | PBE-GGA | relaxed
data_AcZn7Ni5
_cell_length_a 6.6609
_cell_length_b 6.6609
_cell_length_c 6.6609
_cell_angle_alpha 135.28
_cell_angle_beta 97.88
_cell_angle_gamma 98.76
_symmetry_space_group_name_H-M 'P 1'
_symmetry_Int_Tables_number 1
_symmetry_space_group_name_Hall 'P 1'
loop_
_atom_site_label
_atom_site_type_symbol
_atom_site_fract_x
_atom_site_fract_y
_atom_site_fract_z
Ac1 Ac 0.0000 0.0000 0.0000
Zn1 Zn 0.2173 0.4911 0.7262
Zn2 Zn 0.3259 0.9731 0.3528
Zn3 Zn 0.3431 0.3431 0.0000
Zn4 Zn 0.6204 0.9731 0.6472
Zn5 Zn 0.6440 0.6440 0.0000
Zn6 Zn 0.7499 0.2499 0.5000
Zn7 Zn 0.7649 0.4911 0.2738
Ni1 Ni 0.2165 0.7165 0.5000
Ni2 Ni 0.4883 0.4852 0.4991
Ni3 Ni 0.4883 0.9892 0.0031
Ni4 Ni 0.9861 0.4852 0.9969
Ni5 Ni 0.9861 0.9892 0.5009
# raw total energy = -45.0 eV/cell

[3]
# AcZn4Ni | Alexandria | PBE-GGA | relaxed
data_AcZn4Ni
_cell_length_a 7.8450
_cell_length_b 4.0481
_cell_length_c 7.2236
_cell_angle_alpha 90.00
_cell_angle_beta 90.00
_cell_angle_gamma 90.00
_symmetry_space_group_name_H-M 'P 1'
_symmetry_Int_Tables_number 1
_symmetry_space_group_name_Hall 'P 1'
loop_
_atom_site_label
_atom_site_type_symbol
_atom_site_fract_x
_atom_site_fract_y
_atom_site_fract_z
Ac1 Ac 0.2500 0.0000 0.0969
Ac2 Ac 0.7500 0.0000 0.9031
Zn1 Zn 0.0000 0.0000 0.5000
Zn2 Zn 0.0620 0.5000 0.7641
Zn3 Zn 0.2500 0.5000 0.4527
Zn4 Zn 0.4380 0.5000 0.7641
Zn5 Zn 0.5000 0.0000 0.5000
Zn6 Zn 0.5620 0.5000 0.2359
Zn7 Zn 0.7500 0.5000 0.5473
Zn8 Zn 0.9380 0.5000 0.2359
Ni1 Ni 0.2500 0.0000 0.6907
Ni2 Ni 0.7500 0.0000 0.3093
# raw total energy = -33.1 eV/cell

[4]
# Ac4Zn3Ni2 | Alexandria | PBE-GGA | relaxed
data_Ac4Zn3Ni2
_cell_length_a 8.6782
_cell_length_b 8.6782
_cell_length_c 7.5031
_cell_angle_alpha 110.20
_cell_angle_beta 110.20
_cell_angle_gamma 26.87
_symmetry_space_group_name_H-M 'P 1'
_symmetry_Int_Tables_number 1
_symmetry_space_group_name_Hall 'P 1'
loop_
_atom_site_label
_atom_site_type_symbol
_atom_site_fract_x
_atom_site_fract_y
_atom_site_fract_z
Ac1 Ac 0.0686 0.0686 0.3649
Ac2 Ac 0.2700 0.2700 0.7980
Ac3 Ac 0.7300 0.7300 0.2020
Ac4 Ac 0.9314 0.9314 0.6351
Zn1 Zn 0.4009 0.4009 0.2406
Zn2 Zn 0.5000 0.5000 0.0000
Zn3 Zn 0.5991 0.5991 0.7594
Ni1 Ni 0.0960 0.0960 0.9668
Ni2 Ni 0.9040 0.9040 0.0332
# raw total energy = -33.8 eV/cell

[5]
# Ac2Zn2Ni3 | Alexandria | PBE-GGA | relaxed
data_Ac2Zn2Ni3
_cell_length_a 9.3877
_cell_length_b 9.3877
_cell_length_c 7.3569
_cell_angle_alpha 90.00
_cell_angle_beta 90.00
_cell_angle_gamma 154.05
_symmetry_space_group_name_H-M 'P 1'
_symmetry_Int_Tables_number 1
_symmetry_space_group_name_Hall 'P 1'
loop_
_atom_site_label
_atom_site_type_symbol
_atom_site_fract_x
_atom_site_fract_y
_atom_site_fract_z
Ac1 Ac 0.0622 0.9378 0.7500
Ac2 Ac 0.1525 0.8475 0.2500
Ac3 Ac 0.8475 0.1525 0.7500
Ac4 Ac 0.9378 0.0622 0.2500
Zn1 Zn 0.3082 0.6918 0.0625
Zn2 Zn 0.3082 0.6918 0.4375
Zn3 Zn 0.6918 0.3082 0.5625
Zn4 Zn 0.6918 0.3082 0.9375
Ni1 Ni 0.2242 0.7758 0.7500
Ni2 Ni 0.4441 0.5559 0.5797
Ni3 Ni 0.4441 0.5559 0.9203
Ni4 Ni 0.5559 0.4441 0.0797
Ni5 Ni 0.5559 0.4441 0.4203
Ni6 Ni 0.7758 0.2242 0.2500
# raw total energy = -60.4 eV/cell

[6]
# AcZn2Ni2 | Alexandria | PBE-GGA | relaxed
data_AcZn2Ni2
_cell_length_a 5.4812
_cell_length_b 5.4812
_cell_length_c 4.7387
_cell_angle_alpha 106.52
_cell_angle_beta 106.52
_cell_angle_gamma 44.55
_symmetry_space_group_name_H-M 'P 1'
_symmetry_Int_Tables_number 1
_symmetry_space_group_name_Hall 'P 1'
loop_
_atom_site_label
_atom_site_type_symbol
_atom_site_fract_x
_atom_site_fract_y
_atom_site_fract_z
Ac1 Ac 0.0000 0.0000 0.0000
Zn1 Zn 0.3417 0.3417 0.4158
Zn2 Zn 0.6583 0.6583 0.5842
Ni1 Ni 0.2644 0.2644 0.8641
Ni2 Ni 0.7356 0.7356 0.1359
# raw total energy = -19.7 eV/cell

[7]
# Ac2Zn2Ni3 | Alexandria | PBE-GGA | relaxed
data_Ac2Zn2Ni3
_cell_length_a 7.3340
_cell_length_b 7.3340
_cell_length_c 7.3340
_cell_angle_alpha 109.47
_cell_angle_beta 109.47
_cell_angle_gamma 109.47
_symmetry_space_group_name_H-M 'P 1'
_symmetry_Int_Tables_number 1
_symmetry_space_group_name_Hall 'P 1'
loop_
_atom_site_label
_atom_site_type_symbol
_atom_site_fract_x
_atom_site_fract_y
_atom_site_fract_z
Ac1 Ac 0.0000 0.5161 0.5000
Ac2 Ac 0.5000 0.0000 0.5161
Ac3 Ac 0.5161 0.5000 0.0000
Ac4 Ac 0.9839 0.9839 0.9839
Zn1 Zn 0.0000 0.9467 0.5000
Zn2 Zn 0.5000 0.0000 0.9467
Zn3 Zn 0.5533 0.5533 0.5533
Zn4 Zn 0.9467 0.5000 0.0000
Ni1 Ni 0.0417 0.2917 0.7500
Ni2 Ni 0.2083 0.2500 0.4583
Ni3 Ni 0.2500 0.4583 0.2083
Ni4 Ni 0.2917 0.7500 0.0417
Ni5 Ni 0.4583 0.2083 0.2500
Ni6 Ni 0.7500 0.0417 0.2917
# raw total energy = -58.4 eV/cell

[8]
# Ac2ZnNi | Alexandria | PBE-GGA | relaxed
data_Ac2ZnNi
_cell_length_a 10.5357
_cell_length_b 10.5357
_cell_length_c 10.5357
_cell_angle_alpha 20.51
_cell_angle_beta 20.51
_cell_angle_gamma 20.51
_symmetry_space_group_name_H-M 'P 1'
_symmetry_Int_Tables_number 1
_symmetry_space_group_name_Hall 'P 1'
loop_
_atom_site_label
_atom_site_type_symbol
_atom_site_fract_x
_atom_site_fract_y
_atom_site_fract_z
Ac1 Ac 0.0862 0.0862 0.0862
Ac2 Ac 0.9138 0.9138 0.9138
Zn1 Zn 0.5000 0.5000 0.5000
Ni1 Ni 0.0000 0.0000 0.0000
# raw total energy = -13.3 eV/cell

[9]
# Ac8Zn2Ni | Alexandria | PBE-GGA | relaxed
data_Ac8Zn2Ni
_cell_length_a 10.1396
_cell_length_b 10.1396
_cell_length_c 7.4036
_cell_angle_alpha 100.31
_cell_angle_beta 100.31
_cell_angle_gamma 31.50
_symmetry_space_group_name_H-M 'P 1'
_symmetry_Int_Tables_number 1
_symmetry_space_group_name_Hall 'P 1'
loop_
_atom_site_label
_atom_site_type_symbol
_atom_site_fract_x
_atom_site_fract_y
_atom_site_fract_z
Ac1 Ac 0.0247 0.0247 0.2794
Ac2 Ac 0.2060 0.2060 0.8224
Ac3 Ac 0.3471 0.3471 0.5327
Ac4 Ac 0.4100 0.4100 0.0556
Ac5 Ac 0.5900 0.5900 0.9444
Ac6 Ac 0.6529 0.6529 0.4673
Ac7 Ac 0.7940 0.7940 0.1776
Ac8 Ac 0.9753 0.9753 0.7206
Zn1 Zn 0.1917 0.1917 0.2485
Zn2 Zn 0.8083 0.8083 0.7515
Ni1 Ni 0.5000 0.5000 0.5000
# raw total energy = -41.8 eV/cell

[10]
# Ac3ZnNi8 | Alexandria | PBE-GGA | relaxed
data_Ac3ZnNi8
_cell_length_a 9.0644
_cell_length_b 9.0644
_cell_length_c 9.0644
_cell_angle_alpha 33.54
_cell_angle_beta 33.54
_cell_angle_gamma 33.54
_symmetry_space_group_name_H-M 'P 1'
_symmetry_Int_Tables_number 1
_symmetry_space_group_name_Hall 'P 1'
loop_
_atom_site_label
_atom_site_type_symbol
_atom_site_fract_x
_atom_site_fract_y
_atom_site_fract_z
Ac1 Ac 0.0000 0.0000 0.0000
Ac2 Ac 0.1301 0.1301 0.1301
Ac3 Ac 0.6083 0.6083 0.6083
Zn1 Zn 0.4822 0.4822 0.4822
Ni1 Ni 0.0554 0.0554 0.5639
Ni2 Ni 0.0554 0.5639 0.0554
Ni3 Ni 0.0650 0.5610 0.5610
Ni4 Ni 0.3095 0.3095 0.3095
Ni5 Ni 0.5610 0.0650 0.5610
Ni6 Ni 0.5610 0.5610 0.0650
Ni7 Ni 0.5639 0.0554 0.0554
Ni8 Ni 0.8110 0.8110 0.8110
# raw total energy = -62.0 eV/cell

[11]
# Ac2ZnNi3 | Alexandria | PBE-GGA | relaxed
data_Ac2ZnNi3
_cell_length_a 8.5002
_cell_length_b 8.4730
_cell_length_c 5.9778
_cell_angle_alpha 69.62
_cell_angle_beta 69.13
_cell_angle_gamma 41.24
_symmetry_space_group_name_H-M 'P 1'
_symmetry_Int_Tables_number 1
_symmetry_space_group_name_Hall 'P 1'
loop_
_atom_site_label
_atom_site_type_symbol
_atom_site_fract_x
_atom_site_fract_y
_atom_site_fract_z
Ac1 Ac 0.2444 0.7556 0.7556
Ac2 Ac 0.2500 0.2500 0.2500
Ac3 Ac 0.7500 0.7500 0.7500
Ac4 Ac 0.7556 0.2444 0.2444
Zn1 Zn 0.3345 0.3345 0.6655
Zn2 Zn 0.6655 0.6655 0.3345
Ni1 Ni 0.1645 0.6709 0.3291
Ni2 Ni 0.1653 0.1653 0.8347
Ni3 Ni 0.3291 0.8355 0.1645
Ni4 Ni 0.6709 0.1645 0.8355
Ni5 Ni 0.8347 0.8347 0.1653
Ni6 Ni 0.8355 0.3291 0.6709
# raw total energy = -57.1 eV/cell

[12]
# AcZn9Ni2 | Alexandria | PBE-GGA | relaxed
data_AcZn9Ni2
_cell_length_a 7.9662
_cell_length_b 7.9662
_cell_length_c 3.7957
_cell_angle_alpha 90.00
_cell_angle_beta 90.00
_cell_angle_gamma 120.00
_symmetry_space_group_name_H-M 'P 1'
_symmetry_Int_Tables_number 1
_symmetry_space_group_name_Hall 'P 1'
loop_
_atom_site_label
_atom_site_type_symbol
_atom_site_fract_x
_atom_site_fract_y
_atom_site_fract_z
Ac1 Ac 0.0000 0.0000 0.0000
Zn1 Zn 0.0000 0.5000 0.0000
Zn2 Zn 0.2086 0.4173 0.5000
Zn3 Zn 0.2086 0.7914 0.5000
Zn4 Zn 0.4173 0.2086 0.5000
Zn5 Zn 0.5000 0.0000 0.0000
Zn6 Zn 0.5000 0.5000 0.0000
Zn7 Zn 0.5827 0.7914 0.5000
Zn8 Zn 0.7914 0.2086 0.5000
Zn9 Zn 0.7914 0.5827 0.5000
Ni1 Ni 0.3333 0.6667 0.0000
Ni2 Ni 0.6667 0.3333 0.0000
# raw total energy = -29.2 eV/cell

[13]
# Ac2ZnNi | Alexandria | PBE-GGA | relaxed
data_Ac2ZnNi
_cell_length_a 6.2877
_cell_length_b 4.5822
_cell_length_c 8.4120
_cell_angle_alpha 90.00
_cell_angle_beta 109.97
_cell_angle_gamma 90.00
_symmetry_space_group_name_H-M 'P 1'
_symmetry_Int_Tables_number 1
_symmetry_space_group_name_Hall 'P 1'
loop_
_atom_site_label
_atom_site_type_symbol
_atom_site_fract_x
_atom_site_fract_y
_atom_site_fract_z
Ac1 Ac 0.2218 0.2500 0.4430
Ac2 Ac 0.2308 0.2500 0.9219
Ac3 Ac 0.7692 0.7500 0.0781
Ac4 Ac 0.7782 0.7500 0.5570
Zn1 Zn 0.3525 0.7500 0.2163
Zn2 Zn 0.6475 0.2500 0.7837
Ni1 Ni 0.4288 0.7500 0.7285
Ni2 Ni 0.5712 0.2500 0.2715
# raw total energy = -32.4 eV/cell

[14]
# AcZn8Ni4 | Alexandria | PBE-GGA | relaxed
data_AcZn8Ni4
_cell_length_a 6.7327
_cell_length_b 6.7327
_cell_length_c 6.7327
_cell_angle_alpha 98.18
_cell_angle_beta 98.18
_cell_angle_gamma 135.68
_symmetry_space_group_name_H-M 'P 1'
_symmetry_Int_Tables_number 1
_symmetry_space_group_name_Hall 'P 1'
loop_
_atom_site_label
_atom_site_type_symbol
_atom_site_fract_x
_atom_site_fract_y
_atom_site_fract_z
Ac1 Ac 0.0000 0.0000 0.0000
Zn1 Zn 0.0000 0.3494 0.3494
Zn2 Zn 0.0000 0.6506 0.6506
Zn3 Zn 0.2652 0.5000 0.7652
Zn4 Zn 0.3494 0.0000 0.3494
Zn5 Zn 0.5000 0.2652 0.7652
Zn6 Zn 0.5000 0.7348 0.2348
Zn7 Zn 0.6506 0.0000 0.6506
Zn8 Zn 0.7348 0.5000 0.2348
Ni1 Ni 0.0000 0.0000 0.5000
Ni2 Ni 0.0000 0.5000 0.0000
Ni3 Ni 0.5000 0.0000 0.0000
Ni4 Ni 0.5000 0.5000 0.5000
# raw total energy = -40.4 eV/cell

[15]
# Ac4ZnNi2 | Alexandria | PBE-GGA | relaxed
data_Ac4ZnNi2
_cell_length_a 7.4892
_cell_length_b 7.4892
_cell_length_c 14.7269
_cell_angle_alpha 90.00
_cell_angle_beta 90.00
_cell_angle_gamma 147.06
_symmetry_space_group_name_H-M 'P 1'
_symmetry_Int_Tables_number 1
_symmetry_space_group_name_Hall 'P 1'
loop_
_atom_site_label
_atom_site_type_symbol
_atom_site_fract_x
_atom_site_fract_y
_atom_site_fract_z
Ac1 Ac 0.0000 0.0000 0.0000
Ac2 Ac 0.0000 0.0000 0.5000
Ac3 Ac 0.2662 0.7338 0.6149
Ac4 Ac 0.2662 0.7338 0.8851
Ac5 Ac 0.4403 0.5597 0.2500
Ac6 Ac 0.5597 0.4403 0.7500
Ac7 Ac 0.7338 0.2662 0.1149
Ac8 Ac 0.7338 0.2662 0.3851
Zn1 Zn 0.1171 0.8829 0.2500
Zn2 Zn 0.8829 0.1171 0.7500
Ni1 Ni 0.3678 0.6322 0.0600
Ni2 Ni 0.3678 0.6322 0.4400
Ni3 Ni 0.6322 0.3678 0.5600
Ni4 Ni 0.6322 0.3678 0.9400
# raw total energy = -61.0 eV/cell

[16]
# AcZn12Ni4 | Alexandria | PBE-GGA | relaxed
data_AcZn12Ni4
_cell_length_a 7.8940
_cell_length_b 7.8940
_cell_length_c 7.8940
_cell_angle_alpha 109.47
_cell_angle_beta 109.47
_cell_angle_gamma 109.47
_symmetry_space_group_name_H-M 'P 1'
_symmetry_Int_Tables_number 1
_symmetry_space_group_name_Hall 'P 1'
loop_
_atom_site_label
_atom_site_type_symbol
_atom_site_fract_x
_atom_site_fract_y
_atom_site_fract_z
Ac1 Ac 0.0000 0.0000 0.0000
Zn1 Zn 0.0000 0.2801 0.7199
Zn2 Zn 0.0000 0.7199 0.2801
Zn3 Zn 0.2801 0.0000 0.7199
Zn4 Zn 0.2801 0.2801 0.5603
Zn5 Zn 0.2801 0.5603 0.2801
Zn6 Zn 0.2801 0.7199 0.0000
Zn7 Zn 0.4397 0.7199 0.7199
Zn8 Zn 0.5603 0.2801 0.2801
Zn9 Zn 0.7199 0.0000 0.2801
Zn10 Zn 0.7199 0.2801 0.0000
Zn11 Zn 0.7199 0.4397 0.7199
Zn12 Zn 0.7199 0.7199 0.4397
Ni1 Ni 0.0000 0.0000 0.5000
Ni2 Ni 0.0000 0.5000 0.0000
Ni3 Ni 0.5000 0.0000 0.0000
Ni4 Ni 0.5000 0.5000 0.5000
# raw total energy = -41.4 eV/cell

[17]
# Ac2ZnNi2 | Alexandria | PBE-GGA | relaxed
data_Ac2ZnNi2
_cell_length_a 5.7953
_cell_length_b 5.7953
_cell_length_c 5.7953
_cell_angle_alpha 135.76
_cell_angle_beta 120.38
_cell_angle_gamma 77.17
_symmetry_space_group_name_H-M 'P 1'
_symmetry_Int_Tables_number 1
_symmetry_space_group_name_Hall 'P 1'
loop_
_atom_site_label
_atom_site_type_symbol
_atom_site_fract_x
_atom_site_fract_y
_atom_site_fract_z
Ac1 Ac 0.1957 0.1957 0.0000
Ac2 Ac 0.8043 0.8043 0.0000
Zn1 Zn 0.5000 0.0000 0.5000
Ni1 Ni 0.2518 0.5000 0.7518
Ni2 Ni 0.7482 0.5000 0.2482
# raw total energy = -22.3 eV/cell

[18]
# AcZn8Ni2 | Alexandria | PBE-GGA | relaxed
data_AcZn8Ni2
_cell_length_a 5.3959
_cell_length_b 5.3959
_cell_length_c 8.3633
_cell_angle_alpha 90.00
_cell_angle_beta 90.00
_cell_angle_gamma 90.00
_symmetry_space_group_name_H-M 'P 1'
_symmetry_Int_Tables_number 1
_symmetry_space_group_name_Hall 'P 1'
loop_
_atom_site_label
_atom_site_type_symbol
_atom_site_fract_x
_atom_site_fract_y
_atom_site_fract_z
Ac1 Ac 0.0000 0.0000 0.0000
Zn1 Zn 0.2533 0.2533 0.3188
Zn2 Zn 0.2533 0.2533 0.6812
Zn3 Zn 0.2533 0.7467 0.3188
Zn4 Zn 0.2533 0.7467 0.6812
Zn5 Zn 0.7467 0.2533 0.3188
Zn6 Zn 0.7467 0.2533 0.6812
Zn7 Zn 0.7467 0.7467 0.3188
Zn8 Zn 0.7467 0.7467 0.6812
Ni1 Ni 0.0000 0.5000 0.5000
Ni2 Ni 0.5000 0.0000 0.5000
# raw total energy = -24.3 eV/cell

[19]
# AcZn4Ni | Alexandria | PBE-GGA | relaxed
data_AcZn4Ni
_cell_length_a 4.5672
_cell_length_b 4.5672
_cell_length_c 6.7996
_cell_angle_alpha 90.00
_cell_angle_beta 90.00
_cell_angle_gamma 90.00
_symmetry_space_group_name_H-M 'P 1'
_symmetry_Int_Tables_number 1
_symmetry_space_group_name_Hall 'P 1'
loop_
_atom_site_label
_atom_site_type_symbol
_atom_site_fract_x
_atom_site_fract_y
_atom_site_fract_z
Ac1 Ac 0.0000 0.0000 0.0000
Zn1 Zn 0.0000 0.5000 0.5000
Zn2 Zn 0.5000 0.0000 0.5000
Zn3 Zn 0.5000 0.5000 0.1729
Zn4 Zn 0.5000 0.5000 0.8271
Ni1 Ni 0.5000 0.5000 0.5000
# raw total energy = -14.9 eV/cell